La7Cd2Tc2: optimized geometry, PBE-GGA.

The structure belongs to space group Imm2 (No. 44); the cell edges are 4.0637, 16.8568 and 9.9383 Å and the angles 90.00°, 90.00° and 90.00°. The inequivalent atoms are La at (0.0000, 0.0000, 0.0000), La at (0.0000, 0.1404, 0.4189), La at (0.0000, 0.3209, 0.6157), La at (0.0000, 0.3451, 0.2624), Cd at (0.0000, 0.0000, 0.6633), Cd at (0.0000, 0.5000, 0.7776) and Tc at (0.0000, 0.2387, 0.9359).

For the formation energy, the calculation gives -0.077 eV/atom. The density of states at the Fermi level is 1.247 states/eV per atom. Its crystal system is orthorhombic. As for the raw total energy: -115.80 eV per cell.



BaCr2P: optimized geometry, PBE-GGA.

The structure belongs to space group P4/mmm (No. 123); the cell edges are 3.1918, 3.1918 and 7.1817 Å and the angles 90.00°, 90.00° and 90.00°. The inequivalent atoms are Ba at (0.0000, 0.0000, 0.0000), Cr at (0.5000, 0.5000, 0.3578) and P at (0.0000, 0.0000, 0.5000).

For the formation energy, the calculation gives 0.419 eV/atom. The density of states at the Fermi level is 1.074 states/eV per atom. Its crystal system is tetragonal. As for the raw total energy: -24.91 eV per cell.



CaTm2Ga3: optimized geometry, PBE-GGA.

The structure belongs to space group P4/mmm (No. 123); the cell edges are 3.5622, 3.5622 and 10.8274 Å and the angles 90.00°, 90.00° and 90.00°. The inequivalent atoms are Ca at (0.0000, 0.0000, 0.0000), Tm at (0.0000, 0.0000, 0.3371), Ga at (0.5000, 0.5000, 0.1792) and Ga at (0.5000, 0.5000, 0.5000).

For the formation energy, the calculation gives -0.524 eV/atom. The density of states at the Fermi level is 0.582 states/eV per atom. Its crystal system is tetragonal. As for the raw total energy: -23.17 eV per cell.



SnHPb: optimized geometry, PBE-GGA.

The structure belongs to space group P-1 (No. 2); the cell edges are 4.9339, 4.9599 and 6.5701 Å and the angles 109.96°, 108.88° and 95.09°. The inequivalent atoms are Sn at (0.0104, 0.4930, 0.2501), H at (0.2459, 0.2492, 0.7462) and Pb at (0.4567, 0.0425, 0.2502).

The density of states at the Fermi level is 0.296 states/eV per atom. Its crystal system is triclinic. As for the raw total energy: -20.89 eV per cell.



Q: Which formula does entry 2 have?
A: BaCr2P